An optimized crystal structure of Cr2CdSe, computed with PBE-GGA.

a = 7.428 Å, b = 4.652 Å, c = 3.461 Å
α = 90.05°, β = 62.16°, γ = 128.66°
Last column: magnetic moment on the atom in μB.
Fractional positions:
Se 0.000 0.500 0.500  -0.09
Cd 0.500 0.500 0.000  0.00
Cr 0.000 0.000 0.000  3.78
Cr 0.500 0.000 0.500  3.78

Calculated values
ΔE to the lowest computed polymorph, meV/atom: 209
Energy relative to the elements, uncorrected, eV/atom: 0.38
Uncorrected energy, hartree per atom: -0.20342